Record 1
Below is a relaxed LuPaZnNi crystal, with properties calculated at the PBE level.

Results
Energy relative to the elements: -0.13 eV per atom
D(E_F): 4.24 states/eV/cell

Cell lengths 4.850, 4.850, 4.850 Å; angles 60.00, 60.00, 60.00 degrees
Element x y z (fractional)
Lu: 0.000 0.000 0.000
Pa: 0.500 0.500 0.500
Zn: 0.750 0.750 0.750
Ni: 0.250 0.250 0.250

Record 2
Below is a relaxed LuNi2Pb crystal, with properties calculated at the PBE level.

Results
Energy relative to the elements: -0.17 eV per atom
D(E_F): 2.20 states/eV/cell

Cell lengths 3.402, 3.402, 6.310 Å; angles 90.00, 90.00, 90.00 degrees
Element x y z (fractional)
Lu: 0.000 0.000 0.000
Ni: 0.500 0.500 0.228
Ni: 0.500 0.500 0.772
Pb: 0.000 0.000 0.500

Record 3
Below is a relaxed Lu5NiPb3 crystal, with properties calculated at the PBE level.

Results
Energy relative to the elements: -0.48 eV per atom
D(E_F): 8.32 states/eV/cell

Cell lengths 9.014, 9.014, 6.548 Å; angles 90.00, 90.00, 120.00 degrees
Element x y z (fractional)
Lu: 0.000 0.237 0.250
Lu: 0.000 0.763 0.750
Lu: 0.237 0.000 0.250
Lu: 0.237 0.237 0.750
Lu: 0.333 0.667 0.000
Lu: 0.333 0.667 0.500
Lu: 0.667 0.333 0.000
Lu: 0.667 0.333 0.500
Lu: 0.763 0.000 0.750
Lu: 0.763 0.763 0.250
Ni: 0.000 0.000 0.000
Ni: 0.000 0.000 0.500
Pb: 0.000 0.400 0.750
Pb: 0.000 0.600 0.250
Pb: 0.400 0.000 0.750
Pb: 0.400 0.400 0.250
Pb: 0.600 0.000 0.250
Pb: 0.600 0.600 0.750

Record 4
Below is a relaxed LuNi2Pb crystal, with properties calculated at the PBE level.

Results
Energy relative to the elements: -0.17 eV per atom
D(E_F): 3.00 states/eV/cell

Cell lengths 4.472, 4.472, 3.555 Å; angles 90.00, 90.00, 90.00 degrees
Element x y z (fractional)
Lu: 0.000 0.000 0.000
Ni: 0.000 0.500 0.500
Ni: 0.500 0.000 0.500
Pb: 0.500 0.500 0.000

Record 5
Below is a relaxed Lu3NiPb crystal, with properties calculated at the PBE level.

Results
Energy relative to the elements: -0.30 eV per atom
D(E_F): 5.84 states/eV/cell

Cell lengths 5.102, 5.102, 5.102 Å; angles 90.00, 90.00, 90.00 degrees
Element x y z (fractional)
Lu: 0.000 0.000 0.500
Lu: 0.000 0.500 0.000
Lu: 0.500 0.000 0.000
Ni: 0.000 0.000 0.000
Pb: 0.500 0.500 0.500

Record 6
Below is a relaxed LuNiPdPb crystal, with properties calculated at the PBE level.

Results
Energy relative to the elements: -0.46 eV per atom
D(E_F): 2.92 states/eV/cell

Cell lengths 4.728, 4.728, 4.728 Å; angles 60.00, 60.00, 60.00 degrees
Element x y z (fractional)
Lu: 0.000 0.000 0.000
Ni: 0.750 0.750 0.750
Pd: 0.250 0.250 0.250
Pb: 0.500 0.500 0.500

Record 7
Below is a relaxed LuNiRhPb crystal, with properties calculated at the PBE level.

Results
Energy relative to the elements: -0.41 eV per atom
D(E_F): 3.55 states/eV/cell

Cell lengths 4.672, 4.672, 4.672 Å; angles 60.00, 60.00, 60.00 degrees
Element x y z (fractional)
Lu: 0.000 0.000 0.000
Ni: 0.750 0.750 0.750
Rh: 0.250 0.250 0.250
Pb: 0.500 0.500 0.500

Record 8
Below is a relaxed LuNiRuPb crystal, with properties calculated at the PBE level.

Results
Energy relative to the elements: -0.15 eV per atom
D(E_F): 4.22 states/eV/cell

Cell lengths 4.659, 4.659, 4.659 Å; angles 60.00, 60.00, 60.00 degrees
Element x y z (fractional)
Lu: 0.000 0.000 0.000
Ni: 0.750 0.750 0.750
Ru: 0.250 0.250 0.250
Pb: 0.500 0.500 0.500

Record 9
Below is a relaxed LuScNiPb crystal, with properties calculated at the PBE level.

Results
Energy relative to the elements: -0.29 eV per atom
D(E_F): 1.58 states/eV/cell

Cell lengths 4.953, 4.953, 4.953 Å; angles 60.00, 60.00, 60.00 degrees
Element x y z (fractional)
Lu: 0.000 0.000 0.000
Sc: 0.500 0.500 0.500
Ni: 0.250 0.250 0.250
Pb: 0.750 0.750 0.750

Record 10
Below is a relaxed Lu2NiPd crystal, with properties calculated at the PBE level.

Results
Energy relative to the elements: -0.71 eV per atom
D(E_F): 2.18 states/eV/cell

Cell lengths 4.780, 4.780, 4.780 Å; angles 60.00, 60.00, 60.00 degrees
Element x y z (fractional)
Lu: 0.250 0.250 0.250
Lu: 0.750 0.750 0.750
Ni: 0.000 0.000 0.000
Pd: 0.500 0.500 0.500

Record 11
Below is a relaxed Lu2NiPd crystal, with properties calculated at the PBE level.

Results
Energy relative to the elements: -0.51 eV per atom
D(E_F): 2.76 states/eV/cell

Cell lengths 6.906, 6.906, 6.906 Å; angles 32.64, 32.64, 32.64 degrees
Element x y z (fractional)
Lu: 0.244 0.244 0.244
Lu: 0.756 0.756 0.756
Ni: 0.500 0.500 0.500
Pd: 0.000 0.000 0.000

Record 12
Below is a relaxed Lu2NiPd crystal, with properties calculated at the PBE level.

Results
Energy relative to the elements: -0.71 eV per atom
D(E_F): 4.16 states/eV/cell

Cell lengths 3.373, 3.373, 6.753 Å; angles 90.00, 90.00, 90.00 degrees
Element x y z (fractional)
Lu: 0.000 0.000 0.240
Lu: 0.000 0.000 0.760
Ni: 0.500 0.500 0.000
Pd: 0.500 0.500 0.500

Record 13
Below is a relaxed LuNi4Pd crystal, with properties calculated at the PBE level.

Results
Energy relative to the elements: -0.40 eV per atom
D(E_F): 6.69 states/eV/cell

Cell lengths 4.860, 4.860, 4.860 Å; angles 60.00, 60.00, 60.00 degrees
Element x y z (fractional)
Lu: 0.000 0.000 0.000
Ni: 0.126 0.625 0.625
Ni: 0.625 0.126 0.625
Ni: 0.625 0.625 0.126
Ni: 0.625 0.625 0.625
Pd: 0.250 0.250 0.250

Record 14
Below is a relaxed PrLuNiPd crystal, with properties calculated at the PBE level.

Results
Energy relative to the elements: -0.54 eV per atom
D(E_F): 3.69 states/eV/cell

Cell lengths 4.942, 4.942, 4.942 Å; angles 60.00, 60.00, 60.00 degrees
Element x y z (fractional)
Pr: 0.000 0.000 0.000
Lu: 0.500 0.500 0.500
Ni: 0.750 0.750 0.750
Pd: 0.250 0.250 0.250

Record 15
Below is a relaxed LuNiPdPt crystal, with properties calculated at the PBE level.

Results
Energy relative to the elements: -0.64 eV per atom
D(E_F): 3.83 states/eV/cell

Cell lengths 4.541, 4.541, 4.541 Å; angles 60.00, 60.00, 60.00 degrees
Element x y z (fractional)
Lu: 0.000 0.000 0.000
Ni: 0.500 0.500 0.500
Pd: 0.750 0.750 0.750
Pt: 0.250 0.250 0.250

Record 16
Below is a relaxed LuPuNiPd crystal, with properties calculated at the PBE level.

Results
Energy relative to the elements: -0.39 eV per atom
D(E_F): 13.98 states/eV/cell

Cell lengths 4.847, 4.847, 4.847 Å; angles 60.00, 60.00, 60.00 degrees
Element x y z (fractional)
Lu: 0.000 0.000 0.000
Pu: 0.500 0.500 0.500
Ni: 0.750 0.750 0.750
Pd: 0.250 0.250 0.250

Record 17
Below is a relaxed LuNiPdRh crystal, with properties calculated at the PBE level.

Results
Energy relative to the elements: -0.49 eV per atom
D(E_F): 3.52 states/eV/cell

Cell lengths 4.484, 4.484, 4.484 Å; angles 60.00, 60.00, 60.00 degrees
Element x y z (fractional)
Lu: 0.000 0.000 0.000
Ni: 0.500 0.500 0.500
Pd: 0.750 0.750 0.750
Rh: 0.250 0.250 0.250

Record 18
Below is a relaxed LuScNiPd crystal, with properties calculated at the PBE level.

Results
Energy relative to the elements: -0.69 eV per atom
D(E_F): 3.26 states/eV/cell

Cell lengths 4.694, 4.694, 4.694 Å; angles 60.00, 60.00, 60.00 degrees
Element x y z (fractional)
Lu: 0.000 0.000 0.000
Sc: 0.500 0.500 0.500
Ni: 0.250 0.250 0.250
Pd: 0.750 0.750 0.750

Record 19
Below is a relaxed LuNiSnPd crystal, with properties calculated at the PBE level.

Results
Energy relative to the elements: -0.68 eV per atom
D(E_F): 2.65 states/eV/cell

Cell lengths 4.654, 4.654, 4.654 Å; angles 60.00, 60.00, 60.00 degrees
Element x y z (fractional)
Lu: 0.000 0.000 0.000
Ni: 0.250 0.250 0.250
Sn: 0.500 0.500 0.500
Pd: 0.750 0.750 0.750

Record 20
Below is a relaxed LuThNiPd crystal, with properties calculated at the PBE level.

Results
Energy relative to the elements: -0.57 eV per atom
D(E_F): 2.16 states/eV/cell

Cell lengths 4.941, 4.941, 4.941 Å; angles 60.00, 60.00, 60.00 degrees
Element x y z (fractional)
Lu: 0.000 0.000 0.000
Th: 0.500 0.500 0.500
Ni: 0.750 0.750 0.750
Pd: 0.250 0.250 0.250